# SrTbY2S4, relaxed, DFT GGA-PBE
data_SrTbY2S4
_cell_length_a 3.973
_cell_length_b 6.931
_cell_length_c 6.930
_cell_angle_alpha 70.91
_cell_angle_beta 90.00
_cell_angle_gamma 90.00
_symmetry_space_group_name_H-M 'P 1'
_symmetry_Int_Tables_number 1
loop_
_symmetry_equiv_pos_as_xyz
'x,y,z'
loop_
_atom_site_label
_atom_site_type_symbol
_atom_site_fract_x
_atom_site_fract_y
_atom_site_fract_z
S1 S 0.000 0.238 0.262
S2 S 0.500 0.244 0.745
S3 S 0.500 0.756 0.255
S4 S 0.000 0.762 0.738
Sr1 Sr 0.500 0.500 0.000
Y1 Y 0.500 0.000 0.500
Y2 Y 0.000 0.000 0.000
Tb1 Tb 0.000 0.500 0.500
# - VASP energy (eV for the cell shown) = -51.8
# - formation energy from raw total energies (eV per atom) = -2.00

---

# Sr3Tb3YS8, relaxed, DFT GGA-PBE
data_Sr3Tb3YS8
_cell_length_a 8.026
_cell_length_b 8.026
_cell_length_c 8.282
_cell_angle_alpha 118.98
_cell_angle_beta 90.00
_cell_angle_gamma 120.00
_symmetry_space_group_name_H-M 'P 1'
_symmetry_Int_Tables_number 1
loop_
_symmetry_equiv_pos_as_xyz
'x,y,z'
loop_
_atom_site_label
_atom_site_type_symbol
_atom_site_fract_x
_atom_site_fract_y
_atom_site_fract_z
S1 S 0.743 0.984 0.724
S2 S 0.240 0.481 0.724
S3 S 0.240 0.984 0.724
S4 S 0.257 0.513 0.270
S5 S 0.743 0.487 0.730
S6 S 0.257 0.016 0.276
S7 S 0.760 0.016 0.276
S8 S 0.760 0.519 0.276
Sr1 Sr 0.000 0.500 0.000
Sr2 Sr 0.500 0.500 0.000
Sr3 Sr 0.000 0.000 0.000
Tb1 Tb 0.000 0.500 0.500
Tb2 Tb 0.500 0.500 0.500
Tb3 Tb 0.500 0.000 0.500
Y1 Y 0.000 0.000 0.500
# - VASP energy (eV for the cell shown) = -89.8
# - formation energy from raw total energies (eV per atom) = -2.09

---

# SrTcS3, relaxed, DFT GGA-PBE
data_SrTcS3
_cell_length_a 5.414
_cell_length_b 5.414
_cell_length_c 5.414
_cell_angle_alpha 90.00
_cell_angle_beta 90.00
_cell_angle_gamma 90.00
_symmetry_space_group_name_H-M 'P 1'
_symmetry_Int_Tables_number 1
loop_
_symmetry_equiv_pos_as_xyz
'x,y,z'
loop_
_atom_site_label
_atom_site_type_symbol
_atom_site_fract_x
_atom_site_fract_y
_atom_site_fract_z
S1 S 0.000 0.000 0.500
S2 S 0.500 0.000 0.000
S3 S 0.000 0.500 0.000
Tc1 Tc 0.500 0.500 0.500
Sr1 Sr 0.000 0.000 0.000
# - VASP energy (eV for the cell shown) = -19.6
# - formation energy from raw total energies (eV per atom) = 0.96
# - ΔE to the lowest computed polymorph (meV per atom) = 1704.0

---

# Sr2TcS, relaxed, DFT GGA-PBE
data_Sr2TcS
_cell_length_a 8.062
_cell_length_b 8.062
_cell_length_c 6.952
_cell_angle_alpha 54.56
_cell_angle_beta 54.56
_cell_angle_gamma 90.00
_symmetry_space_group_name_H-M 'P 1'
_symmetry_Int_Tables_number 1
loop_
_symmetry_equiv_pos_as_xyz
'x,y,z'
loop_
_atom_site_label
_atom_site_type_symbol
_atom_site_fract_x
_atom_site_fract_y
_atom_site_fract_z
Sr1 Sr 0.156 0.625 0.250
Sr2 Sr 0.375 0.406 0.750
Sr3 Sr 0.594 0.125 0.250
Sr4 Sr 0.875 0.844 0.750
S1 S 0.500 0.500 0.000
S2 S 0.250 0.750 0.500
Tc1 Tc 0.750 0.250 0.500
Tc2 Tc 0.000 0.000 0.000
# - VASP energy (eV for the cell shown) = -34.8
# - formation energy from raw total energies (eV per atom) = 0.11

---

# SrTcS3, relaxed, DFT GGA-PBE
data_SrTcS3
_cell_length_a 4.733
_cell_length_b 4.733
_cell_length_c 4.733
_cell_angle_alpha 90.00
_cell_angle_beta 90.00
_cell_angle_gamma 90.00
_symmetry_space_group_name_H-M 'P 1'
_symmetry_Int_Tables_number 1
loop_
_symmetry_equiv_pos_as_xyz
'x,y,z'
loop_
_atom_site_label
_atom_site_type_symbol
_atom_site_fract_x
_atom_site_fract_y
_atom_site_fract_z
Sr1 Sr 0.500 0.500 0.500
Tc1 Tc 0.000 0.000 0.000
S1 S 0.000 0.500 0.000
S2 S 0.500 0.000 0.000
S3 S 0.000 0.000 0.500
# - VASP energy (eV for the cell shown) = -28.2
# - formation energy from raw total energies (eV per atom) = -0.75
# - ΔE to the lowest computed polymorph (meV per atom) = 0.0

---

# SrTiTc2S, relaxed, DFT GGA-PBE
data_SrTiTc2S
_cell_length_a 4.887
_cell_length_b 5.185
_cell_length_c 4.887
_cell_angle_alpha 90.00
_cell_angle_beta 90.00
_cell_angle_gamma 90.00
_symmetry_space_group_name_H-M 'P 1'
_symmetry_Int_Tables_number 1
loop_
_symmetry_equiv_pos_as_xyz
'x,y,z'
loop_
_atom_site_label
_atom_site_type_symbol
_atom_site_fract_x
_atom_site_fract_y
_atom_site_fract_z
Tc1 Tc 0.000 0.000 0.500
Tc2 Tc 0.500 0.000 0.000
Ti1 Ti 0.000 0.500 0.000
Sr1 Sr 0.000 0.000 0.000
S1 S 0.500 0.500 0.500
# - VASP energy (eV for the cell shown) = -21.2
# - formation energy from raw total energies (eV per atom) = 2.66